Computed, not measured: a relaxed structure of Hf3Al2GaNiPt2 at the PBE-GGA level of DFT.

abc: 3.4968 7.0806 7.0806
angles: 119.68 90.00 90.00
Element x y z (fractional)
Hf  0.0000  0.0000  0.0000
Hf  0.0000  0.2080  0.6004
Hf  0.0000  0.6004  0.2080
Al  0.5000  0.6050  0.8510
Al  0.5000  0.8510  0.6050
Ga  0.5000  0.3521  0.3521
Ni  0.0000  0.6030  0.6030
Pt  0.5000  0.2685  0.9300
Pt  0.5000  0.9300  0.2685

Summary:
ρ   12.08 g/cm³
Total DFT energy (no corrections)   -66.2 eV per cell
Space group   Amm2